1.
Density functional theory data (PBE) for TaCuHg2 after structural relaxation.

Output
The density of states at the Fermi level is 2.0 states/eV/cell. For the formation energy, the calculation gives 0.44 eV/atom.

Cell lengths 2.886, 4.416, 5.924 Å; angles 90.00, 102.82, 90.00 degrees
Space group P2/m (No. 10)
Asymmetric unit:
Ta 0.000 0.000 0.000 (multiplicity 1)
Cu 0.500 0.000 0.500 (multiplicity 1)
Hg 0.357 0.500 0.743 (multiplicity 2)

---

2.
Density functional theory data (PBE) for LiLa2HO after structural relaxation.

Output
The density of states at the Fermi level is 6.0 states/eV/cell. The electronic total energy is -4.273 eV/atom.

Cell lengths 5.153, 5.153, 3.417 Å; angles 90.00, 90.00, 90.00 degrees
Space group P4/mmm (No. 123)
Asymmetric unit:
Li 0.000 0.000 0.000 (multiplicity 1)
La 0.000 0.500 0.000 (multiplicity 2)
H 0.500 0.500 0.500 (multiplicity 1)
O 0.000 0.000 0.500 (multiplicity 1)

---

3.
Density functional theory data (PBE) for ScCrOs after structural relaxation.

Output
The density of states at the Fermi level is 10.7 states/eV/cell. For the formation energy, the calculation gives -0.08 eV/atom. The energy above the most stable polymorph in this dataset comes out at 199 meV/atom.

Cell lengths 9.594, 4.198, 6.495 Å; angles 90.00, 130.59, 90.00 degrees
Space group Cm (No. 8)
Asymmetric unit:
Sc 0.000 0.000 0.000 (multiplicity 2)
Sc 0.129 0.000 0.626 (multiplicity 2)
Cr 0.221 0.500 0.043 (multiplicity 2)
Cr 0.225 0.500 0.377 (multiplicity 2)
Os 0.400 0.000 0.220 (multiplicity 2)
Os 0.408 0.000 0.603 (multiplicity 2)